(one)
Compound: HfTeCI2
Source: Alexandria via LeMat-Bulk
Functional: GGA-PBE
Structure: optimized geometry

**D(E_F)**: 1.48 states/eV per atom
**SG**: No. 123
**Theoretical density**: 5.3 g cm⁻³

a = 5.699 Å, b = 5.699 Å, c = 5.557 Å
α = 90.00°, β = 90.00°, γ = 90.00°
Atoms (fractional coordinates):
1 I 0.000 0.500 0.000
2 I 0.500 0.000 0.000
3 C 0.500 0.500 0.500
4 Te 0.000 0.000 0.500
5 Hf 0.000 0.000 0.000

=====

(two)
Compound: HfTeCI2
Source: Alexandria via LeMat-Bulk
Functional: GGA-PBE
Structure: optimized geometry

**D(E_F)**: 0.71 states/eV per atom
**SG**: No. 123
**Theoretical density**: 8.2 g cm⁻³

a = 4.825 Å, b = 4.825 Å, c = 4.999 Å
α = 90.00°, β = 90.00°, γ = 90.00°
Atoms (fractional coordinates):
1 I 0.000 0.500 0.000
2 I 0.500 0.000 0.000
3 C 0.000 0.000 0.000
4 Te 0.000 0.000 0.500
5 Hf 0.500 0.500 0.500

=====

So which one is most stable? That would be (one), about 44 meV/atom below the next structure.

=====

(one)
Compound: HfIn3C
Source: Alexandria via LeMat-Bulk
Functional: GGA-PBE
Structure: optimized geometry

**D(E_F)**: 0.65 states/eV per atom
**SG**: No. 221
**Theoretical density**: 4.9 g cm⁻³

a = 5.642 Å, b = 5.642 Å, c = 5.642 Å
α = 90.00°, β = 90.00°, γ = 90.00°
Atoms (fractional coordinates):
1 C 0.500 0.500 0.500
2 Hf 0.000 0.000 0.000
3 In 0.000 0.500 0.000
4 In 0.000 0.000 0.500
5 In 0.500 0.000 0.000

=====

(two)
Compound: HfIn3C
Source: Alexandria via LeMat-Bulk
Functional: GGA-PBE
Structure: optimized geometry

**D(E_F)**: 2.16 states/eV per atom
**SG**: No. 221
**Theoretical density**: 8.4 g cm⁻³

a = 4.721 Å, b = 4.721 Å, c = 4.721 Å
α = 90.00°, β = 90.00°, γ = 90.00°
Atoms (fractional coordinates):
1 C 0.000 0.000 0.000
2 Hf 0.500 0.500 0.500
3 In 0.000 0.500 0.000
4 In 0.000 0.000 0.500
5 In 0.500 0.000 0.000

=====

So which one is most stable? That would be (two), about 947 meV/atom below the next structure.